Here is an optimized crystal structure of Mg14AlCoO16 from the Alexandria database. Energies are from PBE+U.

Output
- Calculated total energy: -193.14 eV/f.u.
- Crystal system: orthorhombic
- Space group: No. 47
- Offset from the most stable computed form: 0 meV per atom

```
Mg14AlCoO16
1.0
4.2434 0.0000 0.0000
0.0000 8.4936 0.0000
0.0000 0.0000 8.5159
Mg Al Co O
14 1 1 16
Direct
0.0000 0.0000 0.0000
0.0000 0.0000 0.5000
0.0000 0.2524 0.2447
0.0000 0.2524 0.7553
0.0000 0.7476 0.2447
0.0000 0.7476 0.7553
0.5000 0.0000 0.2479
0.5000 0.0000 0.7521
0.5000 0.2506 0.5000
0.5000 0.2538 0.0000
0.5000 0.5000 0.2434
0.5000 0.5000 0.7566
0.5000 0.7462 0.0000
0.5000 0.7494 0.5000
0.0000 0.5000 0.5000
0.0000 0.5000 0.0000
0.0000 0.0000 0.2560
0.0000 0.0000 0.7440
0.0000 0.2388 0.0000
0.0000 0.2647 0.5000
0.0000 0.5000 0.2815
0.0000 0.5000 0.7185
0.0000 0.7353 0.5000
0.0000 0.7612 0.0000
0.5000 0.0000 0.0000
0.5000 0.0000 0.5000
0.5000 0.2512 0.2510
0.5000 0.2512 0.7490
0.5000 0.5000 0.0000
0.5000 0.5000 0.5000
0.5000 0.7488 0.2510
0.5000 0.7488 0.7490
```

***

Here is an optimized crystal structure of Mg30AlCoO32 from the Alexandria database. Energies are from PBE+U.

Output
- Calculated total energy: -384.58 eV/f.u.
- Crystal system: tetragonal
- Space group: No. 123

```
Mg30AlCoO32
1.0
8.5048 0.0000 0.0000
0.0000 8.5048 0.0000
0.0000 0.0000 8.5010
Mg Al Co O
30 1 1 32
Direct
0.0000 0.0000 0.0000
0.0000 0.2468 0.2523
0.0000 0.2468 0.7477
0.0000 0.5000 0.0000
0.0000 0.5000 0.5000
0.0000 0.7532 0.2523
0.0000 0.7532 0.7477
0.2461 0.2461 0.5000
0.2461 0.7539 0.5000
0.2468 0.0000 0.2523
0.2468 0.0000 0.7477
0.2488 0.2488 0.0000
0.2486 0.5000 0.2500
0.2486 0.5000 0.7500
0.2488 0.7512 0.0000
0.5000 0.0000 0.0000
0.5000 0.0000 0.5000
0.5000 0.2486 0.2500
0.5000 0.2486 0.7500
0.5000 0.5000 0.0000
0.5000 0.7514 0.2500
0.5000 0.7514 0.7500
0.7512 0.2488 0.0000
0.7514 0.5000 0.2500
0.7514 0.5000 0.7500
0.7512 0.7512 0.0000
0.7532 0.0000 0.2523
0.7532 0.0000 0.7477
0.7539 0.2461 0.5000
0.7539 0.7539 0.5000
0.5000 0.5000 0.5000
0.0000 0.0000 0.5000
0.0000 0.0000 0.2387
0.0000 0.0000 0.7613
0.0000 0.2527 0.0000
0.0000 0.2647 0.5000
0.0000 0.5000 0.2505
0.0000 0.5000 0.7495
0.0000 0.7353 0.5000
0.0000 0.7473 0.0000
0.2506 0.2506 0.2506
0.2506 0.2506 0.7494
0.2506 0.7494 0.2506
0.2506 0.7494 0.7494
0.2527 0.0000 0.0000
0.2534 0.5000 0.0000
0.2647 0.0000 0.5000
0.2675 0.5000 0.5000
0.5000 0.0000 0.2505
0.5000 0.0000 0.7495
0.5000 0.2534 0.0000
0.5000 0.2675 0.5000
0.5000 0.5000 0.2640
0.5000 0.5000 0.7360
0.5000 0.7325 0.5000
0.5000 0.7466 0.0000
0.7325 0.5000 0.5000
0.7353 0.0000 0.5000
0.7473 0.0000 0.0000
0.7466 0.5000 0.0000
0.7494 0.2506 0.2506
0.7494 0.2506 0.7494
0.7494 0.7494 0.2506
0.7494 0.7494 0.7494
```

***

Here is an optimized crystal structure of Mg14AlCoO16 from the Alexandria database. Energies are from PBE+U.

Output
- Calculated total energy: -192.78 eV/f.u.
- Crystal system: tetragonal
- Space group: No. 123
- Offset from the most stable computed form: 11 meV per atom

```
Mg14AlCoO16
1.0
8.5097 0.0000 0.0000
0.0000 8.5097 0.0000
0.0000 0.0000 4.2437
Mg Al Co O
14 1 1 16
Direct
0.0000 0.2438 0.0000
0.0000 0.5000 0.5000
0.0000 0.7562 0.0000
0.2438 0.0000 0.0000
0.2443 0.2443 0.5000
0.2443 0.7557 0.5000
0.2481 0.5000 0.0000
0.5000 0.0000 0.5000
0.5000 0.2481 0.0000
0.5000 0.7519 0.0000
0.7519 0.5000 0.0000
0.7562 0.0000 0.0000
0.7557 0.2443 0.5000
0.7557 0.7557 0.5000
0.5000 0.5000 0.5000
0.0000 0.0000 0.5000
0.0000 0.0000 0.0000
0.0000 0.2670 0.5000
0.0000 0.5000 0.0000
0.0000 0.7330 0.5000
0.2510 0.2510 0.0000
0.2510 0.7490 0.0000
0.2670 0.0000 0.5000
0.2715 0.5000 0.5000
0.5000 0.0000 0.0000
0.5000 0.2715 0.5000
0.5000 0.5000 0.0000
0.5000 0.7285 0.5000
0.7285 0.5000 0.5000
0.7330 0.0000 0.5000
0.7490 0.2510 0.0000
0.7490 0.7490 0.0000
```

***

What did the third record say?
Here is an optimized crystal structure of Mg14AlCoO16 from the Alexandria database. Energies are from PBE+U.

Output
- Calculated total energy: -192.78 eV/f.u.
- Crystal system: tetragonal
- Space group: No. 123
- Offset from the most stable computed form: 11 meV per atom

```
Mg14AlCoO16
1.0
8.5097 0.0000 0.0000
0.0000 8.5097 0.0000
0.0000 0.0000 4.2437
Mg Al Co O
14 1 1 16
Direct
0.0000 0.2438 0.0000
0.0000 0.5000 0.5000
0.0000 0.7562 0.0000
0.2438 0.0000 0.0000
0.2443 0.2443 0.5000
0.2443 0.7557 0.5000
0.2481 0.5000 0.0000
0.5000 0.0000 0.5000
0.5000 0.2481 0.0000
0.5000 0.7519 0.0000
0.7519 0.5000 0.0000
0.7562 0.0000 0.0000
0.7557 0.2443 0.5000
0.7557 0.7557 0.5000
0.5000 0.5000 0.5000
0.0000 0.0000 0.5000
0.0000 0.0000 0.0000
0.0000 0.2670 0.5000
0.0000 0.5000 0.0000
0.0000 0.7330 0.5000
0.2510 0.2510 0.0000
0.2510 0.7490 0.0000
0.2670 0.0000 0.5000
0.2715 0.5000 0.5000
0.5000 0.0000 0.0000
0.5000 0.2715 0.5000
0.5000 0.5000 0.0000
0.5000 0.7285 0.5000
0.7285 0.5000 0.5000
0.7330 0.0000 0.5000
0.7490 0.2510 0.0000
0.7490 0.7490 0.0000
```